Here is LiAl after structural relaxation from Alexandria. Energies are from PBE.

Computed properties:
Crystal system ... tetragonal
M_tot ... 0.00 μB per formula unit
Calculated total energy ... -0.214 Ry per atom
Space group ... P4/nmm

Unit cell a=2.8284 b=2.8284 c=8.6720 alpha=90.00 beta=90.00 gamma=90.00
Closest atoms and distances in Å follow each position.
Positions (direct):
1 Al 0.2500 0.2500 0.1188  8 Al 2.83-2.87, 4 Li 2.87
2 Al 0.7500 0.7500 0.8812  8 Al 2.83-2.87, 4 Li 2.87
3 Li 0.2500 0.2500 0.6438  4 Li 2.83, 4 Al 2.87
4 Li 0.7500 0.7500 0.3562  4 Li 2.83, 4 Al 2.87